Entry 1:
VASP calculation (PBE) on an optimized crystal structure of SmTa2NiN4.

```
SmTa2NiN4
1.0
3.2123 0.0000 0.0000
-1.6061 5.2924 0.0000
0.0000 0.0000 10.8189
N Ni Ta Sm
8 2 4 2
direct
0.5521 0.1042 0.2500
0.2722 0.5444 0.3926
0.7278 0.4556 0.6074
0.4479 0.8958 0.7500
0.0000 0.0000 0.5000
0.2722 0.5444 0.1074
0.7278 0.4556 0.8926
0.0000 0.0000 0.0000
0.1619 0.3239 0.2500
0.8381 0.6761 0.7500
0.3700 0.7400 0.5580
0.6300 0.2600 0.4420
0.3700 0.7400 0.9420
0.6300 0.2600 0.0580
0.8917 0.7834 0.2500
0.1083 0.2166 0.7500
```

- space group = Cmcm, No. 63
- E_form (uncorrected) (eV/atom) = -1.0066
- crystal system = orthorhombic

Entry 2:
VASP calculation (PBE) on an optimized crystal structure of La8Cu2Pt.

```
La8Cu2Pt
1.0
6.3957 -0.1660 -1.2265
-2.1994 7.0781 -2.6460
-0.3645 0.1478 7.8602
Cu La Pt
2 8 1
direct
0.5028 0.3191 0.7052
0.5028 0.7052 0.3191
0.3088 0.9127 0.6190
0.3088 0.6190 0.9127
0.6279 0.3704 0.0995
0.7678 0.6340 0.6340
0.2009 0.3724 0.3724
0.6279 0.0995 0.3704
0.9476 0.1599 0.8417
0.9476 0.8417 0.1599
0.2569 0.0001 0.0001
```

- energy relative to the elements (eV/atom) = -0.175
- space group = Cm, No. 8
- crystal system = monoclinic

Entry 3:
VASP calculation (PBE) on an optimized crystal structure of Ba3P4Au2.

```
Ba3P4Au2
1.0
-1.5504 3.3293 2.6242
-4.6536 -2.3663 -3.6295
-1.3423 -5.6526 6.3786
Au Ba P
2 3 4
direct
0.6138 0.2277 0.2730
0.3862 0.7723 0.7270
0.6646 0.3292 0.6704
0.3354 0.6708 0.3296
0.0000 0.0000 0.0000
0.2737 0.5474 0.9601
0.7263 0.4526 0.0399
0.9419 0.8837 0.6022
0.0581 0.1163 0.3978
```

- energy relative to the elements (eV/atom) = -0.778
- space group = C2/m, No. 12
- crystal system = monoclinic

Entry 4:
VASP calculation (PBE) on an optimized crystal structure of CeSnIrRh.

```
CeSnIrRh
1.0
4.7915 0.0000 0.0000
2.3957 4.1495 0.0000
2.3957 1.3832 3.9122
Ir Sn Rh Ce
1 1 1 1
direct
0.2500 0.2500 0.2500
0.5000 0.5000 0.5000
0.7500 0.7500 0.7500
0.0000 0.0000 0.0000
```

- energy relative to the elements (eV/atom) = -0.568
- space group = F-43m, No. 216
- crystal system = cubic